Entry 1:
Entry from Alexandria via LeMat-Bulk: a geometry-optimized Pr6Ga2Ni structure (GGA-PBE).

```
data_Pr6Ga2Ni
_chemical_formula_sum 'Pr12 Ga4 Ni2'
_symmetry_space_group_name_H-M 'P 42/m n m'
_symmetry_Int_Tables_number 136
_symmetry_space_group_name_Hall '-P 4n 2n'
_cell_length_a 7.313
_cell_length_b 7.313
_cell_length_c 11.445
_cell_angle_alpha 90.00
_cell_angle_beta 90.00
_cell_angle_gamma 90.00
loop_
_atom_site_label
_atom_site_fract_x
_atom_site_fract_y
_atom_site_fract_z
_atom_site_occupancy
Pr1 0.205 0.205 0.171 1
Pr2 0.245 0.245 0.500 1
Ga1 0.000 0.000 0.372 1
Ni1 0.000 0.000 0.000 1
```

Properties
Its magnetic moment is 0.00 μB per formula unit. For the electronic total energy, the calculation gives -82.32 eV for the cell shown.

Entry 2:
Entry from Alexandria via LeMat-Bulk: a geometry-optimized Rb2SiHgPt structure (GGA-PBE).

```
data_Rb2SiHgPt
_chemical_formula_sum 'Rb2 Si1 Hg1 Pt1'
_symmetry_space_group_name_H-M 'P 4/m m m'
_symmetry_Int_Tables_number 123
_symmetry_space_group_name_Hall '-P 4 2'
_cell_length_a 6.636
_cell_length_b 6.636
_cell_length_c 4.554
_cell_angle_alpha 90.00
_cell_angle_beta 90.00
_cell_angle_gamma 90.00
loop_
_atom_site_label
_atom_site_fract_x
_atom_site_fract_y
_atom_site_fract_z
_atom_site_occupancy
Rb1 0.000 0.500 0.000 1
Si1 0.000 0.000 0.500 1
Hg1 0.500 0.500 0.500 1
Pt1 0.000 0.000 0.000 1
```

Properties
Its magnetic moment is 0.00 μB per formula unit. The value obtained for the uncorrected formation energy is -0.162 eV per atom. For the electronic total energy, the calculation gives -14.51 eV for the cell shown.

Entry 3:
Entry from Alexandria via LeMat-Bulk: a geometry-optimized ZnNiIr2 structure (GGA-PBE).

```
data_ZnNiIr2
_chemical_formula_sum 'Zn1 Ni1 Ir2'
_symmetry_space_group_name_H-M 'P 1 2/m 1'
_symmetry_Int_Tables_number 10
_cell_length_a 2.686
_cell_length_b 4.437
_cell_length_c 4.658
_cell_angle_alpha 90.00
_cell_angle_beta 90.89
_cell_angle_gamma 90.00
loop_
_symmetry_equiv_pos_as_xyz
'x,y,z'
'-x,-y,-z'
'-x,y,-z'
'x,-y,z'
loop_
_atom_site_label
_atom_site_fract_x
_atom_site_fract_y
_atom_site_fract_z
_atom_site_occupancy
Zn1 0.000 0.000 0.000 1
Ni1 0.500 0.000 0.500 1
Ir1 0.252 0.500 0.745 1
```

Properties
Its magnetic moment is 0.42 μB per formula unit. For the electronic total energy, the calculation gives -24.57 eV for the cell shown.

Entry 4:
Entry from Alexandria via LeMat-Bulk: a geometry-optimized VNi3 structure (GGA-PBE).

```
data_VNi3
_chemical_formula_sum 'V9 Ni27'
_symmetry_space_group_name_H-M 'R -3 m'
_symmetry_Int_Tables_number 166
_symmetry_space_group_name_Hall '-R 3 2"'
_cell_length_a 4.9956
_cell_length_b 4.9956
_cell_length_c 18.7500
_cell_angle_alpha 90.00
_cell_angle_beta 90.00
_cell_angle_gamma 120.00
loop_
_atom_site_label
_atom_site_fract_x
_atom_site_fract_y
_atom_site_fract_z
_atom_site_occupancy
V1 0.0000 0.0000 0.0000 1
V2 0.0000 0.0000 0.2179 1
Ni1 0.0000 0.5000 0.0000 1
Ni2 0.0011 0.5006 0.2237 1
```

Properties
Its magnetic moment is 0.04 μB per formula unit. For the electronic total energy, the calculation gives -245.37 eV for the cell shown.

Entry 5:
Entry from Alexandria via LeMat-Bulk: a geometry-optimized SrLaV2 structure (GGA-PBE).

```
data_SrLaV2
_chemical_formula_sum 'Sr4 La4 V8'
_symmetry_space_group_name_H-M 'F m -3 m'
_symmetry_Int_Tables_number 225
_symmetry_space_group_name_Hall '-F 4 2 3'
_cell_length_a 7.703
_cell_length_b 7.703
_cell_length_c 7.703
_cell_angle_alpha 90.00
_cell_angle_beta 90.00
_cell_angle_gamma 90.00
loop_
_atom_site_label
_atom_site_fract_x
_atom_site_fract_y
_atom_site_fract_z
_atom_site_occupancy
Sr1 0.000 0.000 0.000 1
La1 0.000 0.000 0.500 1
V1 0.250 0.250 0.250 1
```

Properties
Its magnetic moment is 7.94 μB per formula unit. For the electronic total energy, the calculation gives -86.02 eV for the cell shown.

Entry 6:
Entry from Alexandria via LeMat-Bulk: a geometry-optimized CaLa2GaRu structure (GGA-PBE).

```
data_CaLa2GaRu
_chemical_formula_sum 'Ca1 La2 Ga1 Ru1'
_symmetry_space_group_name_H-M 'P 4/m m m'
_symmetry_Int_Tables_number 123
_symmetry_space_group_name_Hall '-P 4 2'
_cell_length_a 5.488
_cell_length_b 5.488
_cell_length_c 5.092
_cell_angle_alpha 90.00
_cell_angle_beta 90.00
_cell_angle_gamma 90.00
loop_
_atom_site_label
_atom_site_fract_x
_atom_site_fract_y
_atom_site_fract_z
_atom_site_occupancy
Ca1 0.000 0.000 0.000 1
La1 0.000 0.500 0.500 1
Ga1 0.500 0.500 0.000 1
Ru1 0.500 0.500 0.500 1
```

Properties
Its magnetic moment is 0.00 μB per formula unit. For the electronic total energy, the calculation gives -25.35 eV for the cell shown.

Entry 7:
Entry from Alexandria via LeMat-Bulk: a geometry-optimized Cd2WSe structure (GGA-PBE).

```
data_Cd2WSe
_chemical_formula_sum 'Cd2 W1 Se1'
_symmetry_space_group_name_H-M 'P m m m'
_symmetry_Int_Tables_number 47
_cell_length_a 3.041
_cell_length_b 4.610
_cell_length_c 5.576
_cell_angle_alpha 90.00
_cell_angle_beta 90.00
_cell_angle_gamma 90.00
loop_
_symmetry_equiv_pos_as_xyz
'x,y,z'
'-x,-y,-z'
'-x,-y,z'
'x,y,-z'
'x,-y,-z'
'-x,y,z'
'-x,y,-z'
'x,-y,z'
loop_
_atom_site_label
_atom_site_fract_x
_atom_site_fract_y
_atom_site_fract_z
_atom_site_occupancy
Cd1 0.000 0.000 0.000 1
Cd2 0.500 0.500 0.000 1
W1 0.000 0.500 0.500 1
Se1 0.500 0.000 0.500 1
```

Properties
Its magnetic moment is 0.00 μB per formula unit. The value obtained for the uncorrected formation energy is 0.670 eV per atom. For the electronic total energy, the calculation gives -15.59 eV for the cell shown.

Entry 8:
Entry from Alexandria via LeMat-Bulk: a geometry-optimized CeIF structure (GGA-PBE).

```
data_CeIF
_chemical_formula_sum 'Ce2 I2 F2'
_symmetry_space_group_name_H-M 'I 4 m m'
_symmetry_Int_Tables_number 107
_symmetry_space_group_name_Hall 'I 4 -2'
_cell_length_a 4.481
_cell_length_b 4.481
_cell_length_c 8.835
_cell_angle_alpha 90.00
_cell_angle_beta 90.00
_cell_angle_gamma 90.00
loop_
_atom_site_label
_atom_site_fract_x
_atom_site_fract_y
_atom_site_fract_z
_atom_site_occupancy
Ce1 0.000 0.000 0.000 1
I1 0.000 0.000 0.598 1
F1 0.000 0.000 0.242 1
```

Properties
Its magnetic moment is 1.55 μB per formula unit. The value obtained for the uncorrected formation energy is -1.956 eV per atom. For the electronic total energy, the calculation gives -30.45 eV for the cell shown.

Entry 9:
Entry from Alexandria via LeMat-Bulk: a geometry-optimized Na3In2PdO6 structure (GGA-PBE).

```
data_Na3In2PdO6
_chemical_formula_sum 'Na6 In4 Pd2 O12'
_symmetry_space_group_name_H-M 'C 1 2/m 1'
_symmetry_Int_Tables_number 12
_cell_length_a 5.595
_cell_length_b 9.876
_cell_length_c 5.761
_cell_angle_alpha 90.00
_cell_angle_beta 108.03
_cell_angle_gamma 90.00
loop_
_symmetry_equiv_pos_as_xyz
'x,y,z'
'-x,-y,-z'
'-x,y,-z'
'x,-y,z'
'x+1/2,y+1/2,z'
'-x+1/2,-y+1/2,-z'
'-x+1/2,y+1/2,-z'
'x+1/2,-y+1/2,z'
loop_
_atom_site_label
_atom_site_fract_x
_atom_site_fract_y
_atom_site_fract_z
_atom_site_occupancy
Na1 0.000 0.000 0.000 1
Na2 0.000 0.338 0.000 1
In1 0.000 0.169 0.500 1
Pd1 0.000 0.500 0.500 1
O1 0.241 0.333 0.719 1
O2 0.249 0.500 0.299 1
```

Properties
Its magnetic moment is 1.04 μB per formula unit. The value obtained for the uncorrected formation energy is -1.354 eV per atom. For the electronic total energy, the calculation gives -121.26 eV for the cell shown.

Entry 10:
Entry from Alexandria via LeMat-Bulk: a geometry-optimized Nb6InAu structure (GGA-PBE).

```
data_Nb6InAu
_chemical_formula_sum 'Nb12 In2 Au2'
_symmetry_space_group_name_H-M 'A m m 2'
_symmetry_Int_Tables_number 38
_cell_length_a 3.513
_cell_length_b 9.207
_cell_length_c 9.202
_cell_angle_alpha 90.00
_cell_angle_beta 90.00
_cell_angle_gamma 90.00
loop_
_symmetry_equiv_pos_as_xyz
'x,y,z'
'-x,-y,z'
'-x,y,z'
'x,-y,z'
'x,y+1/2,z+1/2'
'-x,-y+1/2,z+1/2'
'-x,y+1/2,z+1/2'
'x,-y+1/2,z+1/2'
loop_
_atom_site_label
_atom_site_fract_x
_atom_site_fract_y
_atom_site_fract_z
_atom_site_occupancy
Nb1 0.000 0.000 0.000 1
Nb2 0.000 0.241 0.245 1
Nb3 0.500 0.000 0.251 1
Nb4 0.500 0.241 0.004 1
In1 0.500 0.000 0.742 1
Au1 0.000 0.000 0.494 1
```

Properties
Its magnetic moment is 0.00 μB per formula unit. For the electronic total energy, the calculation gives -133.34 eV for the cell shown.

Entry 11:
Entry from Alexandria via LeMat-Bulk: a geometry-optimized K4CrIr structure (GGA-PBE).

```
data_K4CrIr
_chemical_formula_sum 'K16 Cr4 Ir4'
_symmetry_space_group_name_H-M 'F -4 3 m'
_symmetry_Int_Tables_number 216
_symmetry_space_group_name_Hall 'F -4 2 3'
_cell_length_a 9.204
_cell_length_b 9.204
_cell_length_c 9.204
_cell_angle_alpha 90.00
_cell_angle_beta 90.00
_cell_angle_gamma 90.00
loop_
_atom_site_label
_atom_site_fract_x
_atom_site_fract_y
_atom_site_fract_z
_atom_site_occupancy
K1 0.124 0.124 0.376 1
Cr1 0.000 0.000 0.000 1
Ir1 0.250 0.250 0.750 1
```

Properties
Its magnetic moment is 4.98 μB per formula unit. For the electronic total energy, the calculation gives -61.60 eV for the cell shown.

Entry 12:
Entry from Alexandria via LeMat-Bulk: a geometry-optimized ZnRuF3 structure (GGA-PBE).

```
data_ZnRuF3
_chemical_formula_sum 'Zn1 Ru1 F3'
_symmetry_space_group_name_H-M 'P m -3 m'
_symmetry_Int_Tables_number 221
_symmetry_space_group_name_Hall '-P 4 2 3'
_cell_length_a 4.211
_cell_length_b 4.211
_cell_length_c 4.211
_cell_angle_alpha 90.00
_cell_angle_beta 90.00
_cell_angle_gamma 90.00
loop_
_atom_site_label
_atom_site_fract_x
_atom_site_fract_y
_atom_site_fract_z
_atom_site_occupancy
Zn1 0.000 0.000 0.000 1
Ru1 0.500 0.500 0.500 1
F1 0.000 0.500 0.500 1
```

Properties
Its magnetic moment is 2.24 μB per formula unit. The value obtained for the uncorrected formation energy is -0.870 eV per atom. For the electronic total energy, the calculation gives -20.51 eV for the cell shown.